{
  "formula": "BeSi4Ru",
  "functional": "GGA-PBE",
  "state": "relaxed",
  "lattice": [[0.0000, 3.4363, 3.4363], [3.4363, 0.0000, 3.4363], [3.4363, 3.4363, 0.0000]],
  "species": ["Be", "Si", "Si", "Si", "Si", "Ru"],
  "fractional_positions": [[0.0000, 0.0000, 0.0000], [0.3747, 0.3747, 0.3747], [0.3747, 0.3747, 0.8760], [0.3747, 0.8760, 0.3747], [0.8760, 0.3747, 0.3747], [0.7500, 0.7500, 0.7500]],
  "space_group": "F-43m",
  "magnetic_moment_mub_per_cell": 0.0,
  "crystal_system": "cubic",
  "e_form_raw_ev_per_fu": 3.520
}

---

{
  "formula": "BeSiRu",
  "functional": "GGA-PBE",
  "state": "relaxed",
  "lattice": [[3.8139, 0.0000, 0.0000], [-1.9069, 3.3029, 0.0000], [0.0000, 0.0000, 2.7393]],
  "species": ["Be", "Si", "Ru"],
  "fractional_positions": [[0.0000, 0.0000, 0.0000], [0.3333, 0.6667, 0.9960], [0.6667, 0.3333, 0.4980]],
  "space_group": "P3m1",
  "magnetic_moment_mub_per_cell": 0.0,
  "crystal_system": "trigonal",
  "e_form_raw_ev_per_fu": -0.687,
  "relative_energy_ev_per_atom": 0.355
}

---

{
  "formula": "BeSi2Ru3",
  "functional": "GGA-PBE",
  "state": "relaxed",
  "lattice": [[2.9053, 0.0000, 0.0000], [0.0000, 2.9053, 0.0000], [0.0000, 0.0000, 8.5972]],
  "species": ["Be", "Si", "Si", "Ru", "Ru", "Ru"],
  "fractional_positions": [[0.0000, 0.0000, 0.0000], [0.0000, 0.0000, 0.3219], [0.0000, 0.0000, 0.6781], [0.5000, 0.5000, 0.1625], [0.5000, 0.5000, 0.5000], [0.5000, 0.5000, 0.8375]],
  "space_group": "P4/mmm",
  "magnetic_moment_mub_per_cell": 0.0,
  "crystal_system": "tetragonal",
  "e_form_raw_ev_per_fu": -3.268
}

---

{
  "formula": "Be17SiRu",
  "functional": "GGA-PBE",
  "state": "relaxed",
  "lattice": [[3.5926, 2.0742, 3.6705], [-3.5926, 2.0742, 3.6705], [0.0000, -4.1483, 3.6705]],
  "species": ["Be", "Be", "Be", "Be", "Be", "Be", "Be", "Be", "Be", "Be", "Be", "Be", "Be", "Be", "Be", "Be", "Be", "Si", "Ru"],
  "fractional_positions": [[0.0567, 0.0567, 0.0567], [0.1509, 0.1509, 0.6567], [0.1509, 0.6567, 0.1509], [0.1587, 0.4696, 0.8426], [0.1587, 0.8426, 0.4696], [0.2473, 0.2473, 0.2473], [0.3188, 0.8181, 0.8181], [0.4696, 0.1587, 0.8426], [0.4696, 0.8426, 0.1587], [0.5024, 0.5024, 0.9953], [0.5024, 0.9953, 0.5024], [0.6567, 0.1509, 0.1509], [0.8181, 0.3188, 0.8181], [0.8181, 0.8181, 0.3188], [0.8426, 0.1587, 0.4696], [0.8426, 0.4696, 0.1587], [0.9953, 0.5024, 0.5024], [0.4526, 0.4526, 0.4526], [0.8327, 0.8327, 0.8327]],
  "space_group": "R3m",
  "magnetic_moment_mub_per_cell": 0.0,
  "crystal_system": "trigonal",
  "e_form_raw_ev_per_fu": 0.137
}

---

{
  "formula": "Be3SiRu4",
  "functional": "GGA-PBE",
  "state": "relaxed",
  "lattice": [[-2.0054, 2.0054, 5.6452], [2.0054, -2.0054, 5.6452], [2.0054, 2.0054, -5.6452]],
  "species": ["Be", "Be", "Be", "Si", "Ru", "Ru", "Ru", "Ru"],
  "fractional_positions": [[0.0000, 0.0000, 0.0000], [0.2457, 0.2457, 0.0000], [0.7543, 0.7543, 0.0000], [0.5000, 0.5000, 0.0000], [0.1273, 0.6273, 0.5000], [0.3727, 0.8727, 0.5000], [0.6273, 0.1273, 0.5000], [0.8727, 0.3727, 0.5000]],
  "space_group": "I4/mmm",
  "magnetic_moment_mub_per_cell": 0.0,
  "crystal_system": "tetragonal",
  "e_form_raw_ev_per_fu": -2.939
}

---

{
  "formula": "Sm2Be4Si3Ru",
  "functional": "GGA-PBE",
  "state": "relaxed",
  "lattice": [[3.8563, 0.0000, 0.0000], [0.0000, 3.8563, 0.0000], [0.0000, 0.0000, 9.9779]],
  "species": ["Sm", "Sm", "Be", "Be", "Be", "Be", "Si", "Si", "Si", "Ru"],
  "fractional_positions": [[0.0000, 0.5000, 0.2447], [0.5000, 0.0000, 0.7553], [0.0000, 0.0000, 0.0000], [0.0000, 0.5000, 0.6324], [0.5000, 0.0000, 0.3676], [0.5000, 0.5000, 0.0000], [0.0000, 0.5000, 0.8699], [0.5000, 0.0000, 0.1301], [0.5000, 0.5000, 0.5000], [0.0000, 0.0000, 0.5000]],
  "space_group": "P-4m2",
  "magnetic_moment_mub_per_cell": 0.0,
  "crystal_system": "tetragonal",
  "e_form_raw_ev_per_fu": -4.360
}

---

{
  "formula": "TaBe2SiRu",
  "functional": "GGA-PBE",
  "state": "relaxed",
  "lattice": [[3.9816, 0.0000, 0.0000], [0.0000, 3.9816, 0.0000], [0.0000, 0.0000, 4.7885]],
  "species": ["Ta", "Be", "Be", "Si", "Ru"],
  "fractional_positions": [[0.0000, 0.0000, 0.0000], [0.0000, 0.5000, 0.5000], [0.5000, 0.0000, 0.5000], [0.0000, 0.0000, 0.5000], [0.5000, 0.5000, 0.0000]],
  "space_group": "P4/mmm",
  "magnetic_moment_mub_per_cell": 0.0,
  "crystal_system": "tetragonal",
  "e_form_raw_ev_per_fu": 4.309
}

---

{
  "formula": "Tb2Be4Si3Ru",
  "functional": "GGA-PBE",
  "state": "relaxed",
  "lattice": [[3.8106, 0.0000, 0.0000], [0.0000, 3.8106, 0.0000], [0.0000, 0.0000, 9.9279]],
  "species": ["Tb", "Tb", "Be", "Be", "Be", "Be", "Si", "Si", "Si", "Ru"],
  "fractional_positions": [[0.0000, 0.5000, 0.2455], [0.5000, 0.0000, 0.7545], [0.0000, 0.0000, 0.0000], [0.0000, 0.5000, 0.6349], [0.5000, 0.0000, 0.3651], [0.5000, 0.5000, 0.0000], [0.0000, 0.5000, 0.8681], [0.5000, 0.0000, 0.1319], [0.5000, 0.5000, 0.5000], [0.0000, 0.0000, 0.5000]],
  "space_group": "P-4m2",
  "magnetic_moment_mub_per_cell": 0.0,
  "crystal_system": "tetragonal",
  "e_form_raw_ev_per_fu": -4.604
}